Run A
! PBE Pr12Sm6Mg, optimized geometry; values from VASP
&SYSTEM
  ibrav = 0, nat = 19, ntyp = 3
/
ATOMIC_SPECIES
Pr 140.91 Pr.upf
Sm 150.36 Sm.upf
Mg 24.30 Mg.upf
CELL_PARAMETERS angstrom
6.699 3.868 4.395
-6.699 3.868 4.395
0.000 -7.735 4.395
ATOMIC_POSITIONS crystal
Pr 0.001 0.261 0.739
Pr 0.171 0.582 0.582
Pr 0.261 0.739 0.001
Pr 0.261 0.999 0.739
Pr 0.418 0.418 0.829
Pr 0.418 0.829 0.418
Pr 0.582 0.171 0.582
Pr 0.582 0.582 0.171
Pr 0.739 0.001 0.261
Pr 0.739 0.261 0.999
Pr 0.829 0.418 0.418
Pr 0.999 0.739 0.261
Sm 0.136 0.406 0.137
Sm 0.137 0.136 0.406
Sm 0.406 0.137 0.136
Sm 0.594 0.863 0.864
Sm 0.863 0.864 0.594
Sm 0.864 0.594 0.863
Mg 0.000 0.000 0.000
! Space-group type: R-3 (148)

---

Run B
! PBE Pr12Sm6Mg, optimized geometry; values from VASP
&SYSTEM
  ibrav = 0, nat = 19, ntyp = 3
/
ATOMIC_SPECIES
Pr 140.91 Pr.upf
Sm 150.36 Sm.upf
Mg 24.30 Mg.upf
CELL_PARAMETERS angstrom
6.131 3.539 5.175
-6.131 3.539 5.175
0.000 -7.079 5.175
ATOMIC_POSITIONS crystal
Pr 0.037 0.284 0.932
Pr 0.068 0.963 0.716
Pr 0.137 0.317 0.483
Pr 0.284 0.932 0.037
Pr 0.317 0.483 0.137
Pr 0.483 0.137 0.317
Pr 0.517 0.863 0.683
Pr 0.683 0.517 0.863
Pr 0.716 0.068 0.963
Pr 0.863 0.683 0.517
Pr 0.932 0.037 0.284
Pr 0.963 0.716 0.068
Sm 0.208 0.598 0.760
Sm 0.240 0.792 0.402
Sm 0.402 0.240 0.792
Sm 0.598 0.760 0.208
Sm 0.760 0.208 0.598
Sm 0.792 0.402 0.240
Mg 0.500 0.500 0.500
! Space-group type: R-3 (148)

---

Q: Which of them is the least stable? A: run A.